Ce4SnHg: optimized geometry, GGA-PBE.

Cell: 5.6255 7.4258 8.9625 Å, 100.06 108.28 90.00°
Element x y z (fractional)
Ce 0.6593 0.4586 0.1366
Hg 0.5000 0.0000 0.5000
Ce 0.9564 0.0892 0.3055
Ce 0.3490 0.5892 0.3055
Ce 0.5227 0.0413 0.8634
Sn 0.9167 0.7500 0.0000
Ce 0.6510 0.4108 0.6945
Ce 0.4773 0.9587 0.1366
Ce 0.0436 0.9108 0.6945
Ce 0.3407 0.5414 0.8634
Hg 0.0000 0.5000 0.5000
Sn 0.0833 0.2500 0.0000

Output
Its volume is 174.7 Å³/f.u. The value obtained for the total magnetic moment is 0.438 μB per atom. For the polymorph energy (0 for the lowest one), the calculation gives 0.021 eV per atom. The value obtained for the energy relative to the elements is -0.2280 eV/atom.


Ce4Sn3Hg: optimized geometry, GGA-PBE.

Cell: 4.3790 4.7074 11.3951 Å, 103.19 101.08 90.00°
Element x y z (fractional)
Sn 0.6398 0.1611 0.2797
Hg 0.0000 0.0000 0.0000
Ce 0.2544 0.1956 0.5088
Sn 0.5000 0.5000 0.0000
Ce 0.7456 0.8044 0.4912
Sn 0.3602 0.8389 0.7203
Ce 0.8942 0.3858 0.7884
Ce 0.1058 0.6142 0.2116

Output
Its volume is 224.2 Å³/f.u. The value obtained for the total magnetic moment is 0.239 μB per atom. For the polymorph energy (0 for the lowest one), the calculation gives 0.093 eV per atom. The value obtained for the energy relative to the elements is -0.4315 eV/atom.


Ce3SnHg2: optimized geometry, GGA-PBE.

Cell: 4.0834 4.0834 9.9922 Å, 90.00 90.00 90.00°
Element x y z (fractional)
Hg 0.5000 0.5000 0.1714
Ce 0.0000 0.0000 0.0000
Sn 0.5000 0.5000 0.5000
Ce 0.0000 0.0000 0.3465
Ce 0.0000 0.0000 0.6535
Hg 0.5000 0.5000 0.8286

Output
Its volume is 166.6 Å³/f.u. The value obtained for the total magnetic moment is 0.596 μB per atom. The value obtained for the energy relative to the elements is -0.3901 eV/atom.


Ce6SnHg5: optimized geometry, GGA-PBE.

Cell: 10.3811 4.7931 7.5971 Å, 71.61 81.62 62.50°
Element x y z (fractional)
Ce 0.7492 0.0816 0.3384
Hg 0.0000 0.3350 0.3301
Hg 0.0000 0.6650 0.6699
Hg 0.5000 0.5000 0.0000
Ce 0.7486 0.7512 0.0000
Sn 0.0000 0.0000 0.0000
Ce 0.2514 0.2488 0.0000
Hg 0.5000 0.8344 0.3312
Ce 0.2508 0.9184 0.6616
Ce 0.7492 0.4201 0.6616
Hg 0.5000 0.1656 0.6688
Ce 0.2508 0.5799 0.3384

Output
Its volume is 318.2 Å³/f.u. The value obtained for the total magnetic moment is 0.520 μB per atom. For the polymorph energy (0 for the lowest one), the calculation gives 0.000 eV per atom. The value obtained for the energy relative to the elements is -0.3513 eV/atom.


Ce7Sn3Hg: optimized geometry, GGA-PBE.

Cell: 5.9766 8.1686 8.1686 Å, 95.63 111.46 111.46°
Element x y z (fractional)
Sn 0.0000 0.7612 0.2388
Ce 0.1542 0.1543 0.1543
Ce 0.0000 0.5000 0.5000
Ce 0.6479 0.9066 0.3893
Sn 0.0000 0.2388 0.7612
Hg 0.5000 0.5000 0.5000
Ce 0.8458 0.8457 0.8457
Ce 0.3521 0.6107 0.0934
Sn 0.5000 0.0000 0.0000
Ce 0.3521 0.0934 0.6107
Ce 0.6479 0.3893 0.9066

Output
Its volume is 332.8 Å³/f.u. The value obtained for the total magnetic moment is 0.575 μB per atom. The value obtained for the energy relative to the elements is -0.3182 eV/atom.


CeSnHg2: optimized geometry, GGA-PBE.

Cell: 3.8423 3.8423 7.1820 Å, 90.00 90.00 90.00°
Element x y z (fractional)
Sn 0.5000 0.5000 0.0000
Hg 0.0000 0.0000 0.2398
Ce 0.5000 0.5000 0.5000
Hg 0.0000 0.0000 0.7602

Output
Its volume is 106.0 Å³/f.u. The value obtained for the total magnetic moment is 0.351 μB per atom. The value obtained for the energy relative to the elements is -0.2397 eV/atom.


> total magnetic moment of number 2 (Ce4Sn3Hg)?

0.239 μB per atom


> Number 3 is which compound?

Ce3SnHg2